No. 1
Material: CsTlZnI4
Method: DFT, GGA-PBE
State: optimized geometry

Cell lengths 7.988, 8.298, 10.462 Å; angles 90.00, 108.66, 90.00 degrees
Fractional positions:
I 0.995 0.003 0.261
Zn 0.792 0.250 0.688
I 0.398 0.750 0.145
I 0.593 0.250 0.434
I 0.005 0.503 0.739
I 0.602 0.250 0.855
Tl 0.230 0.250 0.550
Zn 0.208 0.750 0.312
Tl 0.770 0.750 0.450
I 0.995 0.497 0.261
Cs 0.733 0.750 0.932
Cs 0.267 0.250 0.068
I 0.407 0.750 0.566
I 0.005 0.997 0.739

- ΔE_f (raw): -0.9097 eV per atom
- M_tot: 0.00 μB per atom
- Uncorrected energy: -2.437 eV/atom

=====

No. 2
Material: Dy4ErTl2
Method: DFT, GGA-PBE
State: optimized geometry

Cell lengths 6.055, 6.055, 8.013 Å; angles 121.49, 121.49, 67.51 degrees
Fractional positions:
Dy 0.500 0.000 0.000
Er 0.000 0.000 0.000
Dy 0.750 0.250 0.500
Dy 0.250 0.750 0.500
Tl 0.368 0.368 0.737
Tl 0.632 0.632 0.263
Dy 0.000 0.500 0.000

- Formation energy: 0.16 eV per atom
- Energy relative to the lowest polymorph listed for this composition: 98.2 meV per atom
- M_tot: 0.00 μB per atom
- Uncorrected energy: -3.793 eV/atom

=====

No. 3
Material: NbNi3Rh
Method: DFT, GGA-PBE
State: optimized geometry

Cell lengths 4.402, 4.402, 4.402 Å; angles 90.00, 90.00, 90.00 degrees
Fractional positions:
Ni 0.500 0.000 0.000
Rh 0.000 0.000 0.000
Ni 0.000 0.500 0.000
Ni 0.000 0.000 0.500
Nb 0.500 0.500 0.500

- Formation energy: 1.30 eV per atom
- Energy relative to the lowest polymorph listed for this composition: 1461.9 meV per atom
- M_tot: 0.00 μB per atom
- Uncorrected energy: -5.657 eV/atom

=====

No. 4
Material: Er6CdS3
Method: DFT, GGA-PBE
State: optimized geometry

Cell lengths 3.784, 11.700, 11.759 Å; angles 110.40, 90.00, 90.00 degrees
Fractional positions:
Er 0.750 0.525 0.346
S 0.750 0.726 0.280
Cd 0.750 0.621 0.873
Er 0.750 0.936 0.234
S 0.750 0.365 0.491
S 0.750 0.958 0.859
Er 0.250 0.064 0.766
S 0.250 0.042 0.141
Er 0.750 0.153 0.056
S 0.250 0.635 0.509
Er 0.250 0.638 0.108
S 0.250 0.274 0.720
Er 0.250 0.241 0.336
Cd 0.250 0.379 0.127
Er 0.750 0.362 0.892
Er 0.250 0.855 0.451
Er 0.750 0.145 0.549
Er 0.750 0.759 0.664
Er 0.250 0.475 0.654
Er 0.250 0.847 0.944

- ΔE_f (raw): -1.1978 eV per atom
- M_tot: 0.00 μB per atom
- Uncorrected energy: -5.265 eV/atom